The following is a GGA-PBE calculation of Ce3B7Os after structural relaxation, from Alexandria via LeMat-Bulk.

Cell: 3.548 8.226 9.447 Å, 90.00 90.00 102.46°
Sites, in units of the cell vectors:
B: 0.536 0.072 0.250
B: 0.477 0.954 0.406
B: 0.366 0.732 0.347
B: 0.725 0.451 0.533
B: 0.275 0.549 0.033
B: 0.523 0.046 0.594
B: 0.725 0.451 0.967
B: 0.634 0.268 0.847
B: 0.634 0.268 0.653
B: 0.275 0.549 0.467
B: 0.477 0.954 0.094
B: 0.464 0.928 0.750
B: 0.523 0.046 0.906
B: 0.366 0.732 0.153
Ce: 0.107 0.213 0.436
Ce: 0.893 0.787 0.564
Ce: 0.250 0.501 0.750
Ce: 0.107 0.213 0.064
Ce: 0.893 0.787 0.936
Ce: 0.750 0.499 0.250
Os: 0.944 0.888 0.250
Os: 0.056 0.112 0.750

Properties
Space group: Cmcm (63)
Mass density, g/cm³: 8.46
Energy of formation from the pure elements, meV per atom: -463
Energy, eV per atom: -7.351